[1]
Rb3Tl2AgBr9: optimized geometry, GGA-PBE.

total moment: 0.000 μB/atom
formation energy from raw total energies: -1.007 eV/atom
space group: No. 164
D(E_F): 0.075 states/eV per atom

POSCAR file:
```
Rb3Tl2AgBr9
1.0
8.020 0.000 0.000
-4.010 6.945 0.000
0.000 0.000 9.839
Rb Tl Ag Br
3 2 1 9
Direct
0.333 0.667 0.658 Rb
0.000 0.000 0.000 Rb
0.667 0.333 0.342 Rb
0.333 0.667 0.178 Tl
0.667 0.333 0.822 Tl
0.000 0.000 0.500 Ag
0.837 0.163 0.664 Br
0.837 0.675 0.664 Br
0.325 0.163 0.664 Br
0.675 0.837 0.336 Br
0.163 0.325 0.336 Br
0.163 0.837 0.336 Br
0.500 0.000 0.000 Br
0.000 0.500 0.000 Br
0.500 0.500 0.000 Br
```

***

[2]
Rb4TlAg3Br12: optimized geometry, GGA-PBE.

total moment: 0.000 μB/atom
formation energy from raw total energies: -0.911 eV/atom
space group: No. 229
D(E_F): 0.285 states/eV per atom

POSCAR file:
```
Rb4TlAg3Br12
1.0
-1.762 -3.265 -8.827
-3.557 -6.129 6.439
-4.135 8.563 1.120
Rb Tl Ag Br
4 1 3 12
Direct
0.500 0.500 0.500 Rb
0.000 0.000 0.500 Rb
0.500 0.000 0.000 Rb
0.000 0.500 0.000 Rb
0.000 0.000 0.000 Tl
0.500 0.000 0.500 Ag
0.500 0.500 0.000 Ag
0.000 0.500 0.500 Ag
0.250 0.500 0.750 Br
0.748 0.000 0.748 Br
0.252 0.000 0.252 Br
0.750 0.500 0.250 Br
0.748 0.748 0.000 Br
0.252 0.252 0.000 Br
0.750 0.250 0.500 Br
0.250 0.750 0.500 Br
0.500 0.250 0.750 Br
0.000 0.748 0.748 Br
0.500 0.750 0.250 Br
0.000 0.252 0.252 Br
```

***

[3]
Rb4Tl3AgBr8: optimized geometry, GGA-PBE.

total moment: 0.000 μB/atom
formation energy from raw total energies: -1.209 eV/atom
space group: No. 12
D(E_F): 0.000 states/eV per atom

POSCAR file:
```
Rb4Tl3AgBr8
1.0
-2.431 4.101 8.298
-2.961 -8.401 3.284
9.049 1.023 -3.373
Rb Tl Ag Br
4 3 1 8
Direct
0.500 0.000 0.000 Rb
0.500 0.000 0.500 Rb
0.000 0.000 0.000 Rb
0.000 0.000 0.500 Rb
0.500 0.500 0.000 Tl
0.500 0.500 0.500 Tl
0.000 0.500 0.500 Tl
0.000 0.500 0.000 Ag
0.216 0.711 0.995 Br
0.257 0.753 0.513 Br
0.252 0.256 0.504 Br
0.779 0.711 0.995 Br
0.221 0.289 0.005 Br
0.748 0.744 0.496 Br
0.743 0.247 0.487 Br
0.784 0.289 0.005 Br
```

***

[4]
Rb2TlAgBr6: optimized geometry, GGA-PBE.

total moment: 0.000 μB/atom
formation energy from raw total energies: -0.987 eV/atom
space group: No. 14
offset from the most stable computed form: 0.000 eV/atom
D(E_F): 0.029 states/eV per atom

POSCAR file:
```
Rb2TlAgBr6
1.0
-5.353 -3.650 4.040
5.734 -3.719 4.238
-0.151 8.373 7.553
Rb Tl Ag Br
4 2 2 12
Direct
0.022 0.934 0.249 Rb
0.522 0.566 0.749 Rb
0.978 0.066 0.751 Rb
0.478 0.434 0.251 Rb
0.500 0.000 0.500 Tl
0.000 0.500 0.000 Tl
0.500 0.000 0.000 Ag
0.000 0.500 0.500 Ag
0.297 0.699 0.032 Br
0.797 0.801 0.532 Br
0.703 0.301 0.968 Br
0.203 0.199 0.468 Br
0.291 0.695 0.471 Br
0.791 0.805 0.971 Br
0.709 0.305 0.529 Br
0.209 0.195 0.029 Br
0.940 0.498 0.246 Br
0.440 0.002 0.746 Br
0.060 0.502 0.754 Br
0.560 0.998 0.254 Br
```

***

[5]
Rb2TlAg2Br7: optimized geometry, GGA-PBE.

total moment: 0.000 μB/atom
formation energy from raw total energies: -0.848 eV/atom
space group: No. 12
D(E_F): 0.286 states/eV per atom

POSCAR file:
```
Rb2TlAg2Br7
1.0
5.442 -0.003 0.018
0.003 5.442 0.018
2.689 2.685 13.814
Rb Tl Ag Br
2 1 2 7
Direct
0.821 0.821 0.357 Rb
0.179 0.179 0.643 Rb
0.000 0.000 0.000 Tl
0.598 0.598 0.805 Ag
0.402 0.402 0.195 Ag
0.500 0.500 0.000 Br
0.303 0.303 0.391 Br
0.697 0.697 0.609 Br
0.908 0.408 0.182 Br
0.408 0.908 0.182 Br
0.592 0.092 0.818 Br
0.092 0.592 0.818 Br
```

***

[6]
Rb2TlAgBr4: optimized geometry, GGA-PBE.

total moment: 0.000 μB/atom
formation energy from raw total energies: -1.146 eV/atom
space group: No. 63
D(E_F): 0.000 states/eV per atom

POSCAR file:
```
Rb2TlAgBr4
1.0
-0.078 -3.161 3.451
-5.673 -2.246 -5.359
11.699 -9.476 -8.414
Rb Tl Ag Br
4 2 2 8
Direct
0.365 0.731 0.557 Rb
0.635 0.269 0.057 Rb
0.635 0.269 0.443 Rb
0.365 0.731 0.943 Rb
0.121 0.242 0.750 Tl
0.879 0.758 0.250 Tl
0.842 0.683 0.750 Ag
0.158 0.317 0.250 Ag
0.281 0.561 0.134 Br
0.719 0.439 0.634 Br
0.719 0.439 0.866 Br
0.281 0.561 0.366 Br
0.000 0.000 0.500 Br
0.000 0.000 0.000 Br
0.435 0.870 0.750 Br
0.565 0.130 0.250 Br
```

***

Q: Which of these has the lowest formation energy from raw total energies?
A: Rb4Tl3AgBr8

***

Q: Number 5 is which compound?
A: Rb2TlAg2Br7

***

Q: Which formula does entry 4 have?
A: Rb2TlAgBr6